[1]
CePmHg2, relaxed, DFT PBE; energy relative to the elements = -146 kJ/mol of formula units; calculated volume = 27.90 Å³ per atom; energy above the most stable polymorph in this dataset = 0.0 meV per atom
1.0
3.801 0.000 0.000
0.000 3.801 0.000
0.000 0.000 7.724
Hg Ce Pm
2 1 1
Direct
0.000 0.000 0.745
0.000 0.000 0.255
0.500 0.500 0.000
0.500 0.500 0.500

[2]
Na2LiPmBr6, relaxed, DFT PBE; raw formation energy = -1666 meV/atom; calculated volume = 30.92 Å³ per atom
1.0
7.366 0.000 -0.001
3.683 6.378 -0.001
3.681 2.126 6.581
Na Li Pm Br
2 1 1 6
Direct
0.522 0.522 0.435
0.018 0.018 0.946
0.814 0.814 0.558
0.323 0.323 0.030
0.595 0.203 0.261
0.203 0.941 0.261
0.941 0.595 0.261
0.443 0.711 0.754
0.711 0.093 0.754
0.093 0.443 0.754

[3]
Ca3TeSe, relaxed, DFT PBE; raw formation energy = -943 meV/atom; calculated volume = 34.09 Å³ per atom; energy above the most stable polymorph in this dataset = 0.0 meV per atom
1.0
-3.559 -0.114 -4.250
3.545 -3.139 -2.885
-2.347 -4.569 2.088
Ca Te Se
3 1 1
Direct
0.000 0.500 0.000
0.000 0.000 0.500
0.500 0.000 0.000
0.500 0.500 0.500
0.000 0.000 0.000

[4]
KGePb3, relaxed, DFT PBE; energy relative to the elements = 552 kJ/mol of formula units; calculated volume = 41.07 Å³ per atom; energy above the most stable polymorph in this dataset = 924.9 meV per atom
1.0
-3.937 3.892 2.039
-3.301 -4.427 2.076
2.899 0.245 5.132
Pb Ge K
3 1 1
Direct
0.000 0.500 0.000
0.000 0.000 0.500
0.500 0.000 0.000
0.500 0.500 0.500
0.000 0.000 0.000

[5]
Dy2HoCo9, relaxed, DFT PBE; energy relative to the elements = -210 kJ/mol of formula units; calculated volume = 14.46 Å³ per atom
1.0
-4.174 1.978 -1.827
-0.541 0.565 -4.905
-4.866 -6.558 -2.733
Dy Ho Co
2 1 9
Direct
0.860 0.860 0.419
0.140 0.140 0.581
0.000 0.000 0.000
0.665 0.665 0.004
0.335 0.335 0.996
0.500 0.500 0.500
0.418 0.418 0.243
0.921 0.418 0.243
0.418 0.921 0.243
0.582 0.582 0.757
0.582 0.079 0.757
0.079 0.582 0.757

[6]
LiZr2Cl, relaxed, DFT PBE; raw formation energy = -552 meV/atom; calculated volume = 21.39 Å³ per atom; energy above the most stable polymorph in this dataset = 0.0 meV per atom
1.0
3.170 0.000 0.000
0.000 3.162 -0.001
0.000 1.586 8.534
Cl Li Zr
1 1 2
Direct
0.000 0.294 0.536
0.500 0.718 0.688
0.000 0.057 0.013
0.500 0.431 0.263

[7]
BaTiCS2, relaxed, DFT PBE; raw formation energy = 54 meV/atom; calculated volume = 20.53 Å³ per atom
1.0
5.071 0.000 0.000
0.000 3.992 0.000
0.000 0.000 5.071
C S Ba Ti
1 2 1 1
Direct
0.000 0.000 0.000
0.000 0.000 0.500
0.500 0.000 0.000
0.500 0.500 0.500
0.000 0.500 0.000

[8]
TbScCoRu, relaxed, DFT PBE; energy relative to the elements = -121 kJ/mol of formula units; calculated volume = 17.61 Å³ per atom
1.0
-1.796 3.930 -1.677
-3.972 1.654 1.725
0.021 3.846 2.587
Sc Ru Tb Co
1 1 1 1
Direct
0.000 0.000 0.000
0.750 0.750 0.750
0.500 0.500 0.500
0.250 0.250 0.250

[9]
Ti4Al2Mo3, relaxed, DFT PBE; energy relative to the elements = -157 kJ/mol of formula units; calculated volume = 16.15 Å³ per atom
1.0
4.519 0.001 0.001
2.259 4.433 1.283
-0.002 2.147 7.878
Ti Al Mo
4 2 3
Direct
0.677 0.646 0.885
0.018 0.963 0.328
0.982 0.037 0.672
0.323 0.354 0.115
0.324 0.352 0.767
0.676 0.648 0.233
0.350 0.300 0.449
0.000 0.000 0.000
0.650 0.700 0.551

[10]
LiZrNi3, relaxed, DFT PBE; energy relative to the elements = 454 kJ/mol of formula units; calculated volume = 20.36 Å³ per atom; energy above the most stable polymorph in this dataset = 765.0 meV per atom
1.0
-0.681 0.920 4.527
4.186 -1.812 0.998
1.953 4.204 -0.561
Ni Zr Li
3 1 1
Direct
0.000 0.500 0.000
0.000 0.000 0.500
0.500 0.000 0.000
0.000 0.000 0.000
0.500 0.500 0.500

[11]
Cd3In2, relaxed, DFT PBE; energy relative to the elements = 9 kJ/mol of formula units; calculated volume = 24.64 Å³ per atom; energy above the most stable polymorph in this dataset = 0.0 meV per atom
1.0
3.368 0.000 0.000
1.684 2.917 0.000
1.684 0.972 12.540
Cd In
3 2
Direct
0.103 0.103 0.692
0.500 0.500 0.500
0.897 0.897 0.308
0.298 0.298 0.107
0.702 0.702 0.893

[12]
Th2PaPt5Rh, relaxed, DFT PBE; energy relative to the elements = -478 kJ/mol of formula units; calculated volume = 22.12 Å³ per atom
1.0
-1.272 -4.568 4.638
-4.805 -3.620 -4.883
5.894 -4.296 -2.615
Th Pa Pt Rh
4 2 10 2
Direct
0.500 0.640 0.140
0.500 0.140 0.360
0.500 0.860 0.640
0.500 0.360 0.860
0.000 0.500 0.500
0.000 0.000 0.000
0.500 0.500 0.500
0.500 0.000 0.000
0.202 0.198 0.698
0.202 0.802 0.302
0.202 0.302 0.198
0.202 0.698 0.802
0.798 0.198 0.698
0.798 0.698 0.802
0.798 0.802 0.302
0.798 0.302 0.198
0.000 0.000 0.500
0.000 0.500 0.000